! PBE Th6As2AuSe3, optimized geometry; values from VASP
&SYSTEM
  ibrav = 0, nat = 12, ntyp = 4
/
ATOMIC_SPECIES
Th 232.04 Th.upf
As 74.92 As.upf
Au 196.97 Au.upf
Se 78.96 Se.upf
CELL_PARAMETERS angstrom
4.220 0.000 0.000
0.000 8.544 0.402
-2.110 -2.363 8.931
ATOMIC_POSITIONS angstrom
Th 0.000 6.234 6.297
Th 2.110 4.166 3.210
Th 2.110 -0.053 3.036
Th 0.000 2.122 0.147
Th 2.110 4.058 9.185
Th 0.000 2.014 6.123
As 2.110 4.124 6.192
As 0.000 2.056 3.141
Au 2.110 0.000 0.000
Se 2.110 4.272 0.201
Se 2.110 -0.148 6.046
Se 0.000 6.328 3.286
! - calculated total energy (eV for the cell shown) = -83.56
! - ΔE_f (raw) (eV/f.u.) = -16.01

---

! PBE Th4CuAsSe2, optimized geometry; values from VASP
&SYSTEM
  ibrav = 0, nat = 8, ntyp = 4
/
ATOMIC_SPECIES
Th 232.04 Th.upf
Cu 63.55 Cu.upf
As 74.92 As.upf
Se 78.96 Se.upf
CELL_PARAMETERS angstrom
4.175 0.000 0.000
0.000 7.399 0.170
0.000 -2.542 6.839
ATOMIC_POSITIONS angstrom
Th 2.088 1.238 1.700
Th 2.088 3.619 5.309
Th 0.000 -0.017 5.265
Th 0.000 4.874 1.744
Cu 2.088 3.700 0.085
As 0.000 0.000 0.000
Se 2.088 -1.271 3.419
Se 0.000 2.429 3.505
! - calculated total energy (eV for the cell shown) = -54.38
! - ΔE_f (raw) (eV/f.u.) = -8.98

---

! PBE CsNaScV2, optimized geometry; values from VASP
&SYSTEM
  ibrav = 0, nat = 5, ntyp = 4
/
ATOMIC_SPECIES
Cs 132.91 Cs.upf
Sc 44.96 Sc.upf
Na 22.99 Na.upf
V 50.94 V.upf
CELL_PARAMETERS angstrom
5.255 0.000 0.000
0.000 5.287 0.000
0.000 0.000 5.255
ATOMIC_POSITIONS angstrom
Cs 0.000 0.000 0.000
Sc 2.628 2.644 2.628
Na 0.000 2.644 0.000
V 0.000 0.000 2.628
V 2.628 0.000 0.000
! - calculated total energy (eV for the cell shown) = -16.47
! - ΔE_f (eV per atom) = 2.05

---

! PBE MoRhW, optimized geometry; values from VASP
&SYSTEM
  ibrav = 0, nat = 3, ntyp = 3
/
ATOMIC_SPECIES
Mo 95.94 Mo.upf
Rh 102.91 Rh.upf
W 183.84 W.upf
CELL_PARAMETERS angstrom
-0.336 0.557 2.688
2.224 -1.405 -0.854
3.501 6.035 -0.813
ATOMIC_POSITIONS angstrom
Mo 0.033 0.057 -0.008
Rh 1.687 1.919 1.236
W 3.669 3.210 -0.207
! - calculated total energy (eV for the cell shown) = -30.80
! - ΔE_f (eV per atom) = 0.11
! - ΔE to the lowest computed polymorph (meV per atom) = 170

---

Number 1: spin magnetization 0.0 μB per cell. Number 2: spin magnetization 0.0 μB per cell. Number 3: spin magnetization 5.5 μB per cell. Number 4: spin magnetization 0.0 μB per cell.